No. 1
{"formula": "Ac2AlSn", "functional": "PBE", "state": "optimized geometry", "final_energy_ev_per_atom": -4.535, "spacegroup": "P2_1/m", "volume_a3_per_atom": 33.9, "rho_g_cm3": 7.34, "crystal_system": "monoclinic", "cell": [[-3.4237, -2.4817, -1.4221], [4.2357, -4.7496, -1.9089], [-2.9576, -1.2628, 9.3243]], "species": ["Ac", "Ac", "Ac", "Ac", "Sn", "Sn", "Al", "Al"], "fractional_positions": [[0.2500, 0.7829, 0.0759], [0.7500, 0.2139, 0.4338], [0.2500, 0.7861, 0.5662], [0.7500, 0.2171, 0.9241], [0.2500, 0.3534, 0.2135], [0.7500, 0.6466, 0.7865], [0.2500, 0.3610, 0.7154], [0.7500, 0.6390, 0.2846]]}

---

No. 2
{"formula": "Si2GeOs", "functional": "PBE", "state": "optimized geometry", "e_form_raw_mev_per_atom": 327, "final_energy_ev_per_atom": -6.346, "spacegroup": "Fm-3m", "volume_a3_per_atom": 14.6, "rho_g_cm3": 9.08, "crystal_system": "cubic", "cell": [[-1.7626, -2.9374, 2.6866], [-3.8535, 0.7916, 1.8648], [-3.5189, -2.2455, -1.2364]], "species": ["Si", "Si", "Os", "Ge"], "fractional_positions": [[0.2500, 0.2500, 0.2500], [0.7500, 0.7500, 0.7500], [0.5000, 0.5000, 0.5000], [0.0000, 0.0000, 0.0000]]}

---

No. 3
{"formula": "Nb3InH3", "functional": "PBE", "state": "optimized geometry", "final_energy_ev_per_atom": -6.043, "spacegroup": "R-3", "volume_a3_per_atom": 14.3, "rho_g_cm3": 6.58, "crystal_system": "trigonal", "cell": [[5.9676, 0.0000, 0.0000], [2.9838, 5.1681, 0.0000], [2.9838, 1.7227, 6.4877]], "species": ["Nb", "Nb", "Nb", "Nb", "Nb", "Nb", "In", "In", "H", "H", "H", "H", "H", "H"], "fractional_positions": [[0.4671, 0.7682, 0.6466], [0.7682, 0.1181, 0.6466], [0.1181, 0.4671, 0.6466], [0.2318, 0.8819, 0.3534], [0.5329, 0.2318, 0.3534], [0.8819, 0.5329, 0.3534], [0.6667, 0.6667, 0.9999], [0.3333, 0.3333, 0.0001], [0.2000, 0.5686, 0.3482], [0.8000, 0.4314, 0.6518], [0.4314, 0.1168, 0.6518], [0.5686, 0.8832, 0.3482], [0.8832, 0.2000, 0.3482], [0.1168, 0.8000, 0.6518]]}

---

No. 4
{"formula": "Ce2CdGe4Pd3", "functional": "PBE", "state": "optimized geometry", "final_energy_ev_per_atom": -5.356, "spacegroup": "P-4m2", "volume_a3_per_atom": 19.9, "rho_g_cm3": 8.38, "crystal_system": "tetragonal", "cell": [[4.3118, 0.0000, 0.0000], [0.0000, 4.3118, 0.0000], [0.0000, 0.0000, 10.6886]], "species": ["Ge", "Ge", "Ge", "Ge", "Pd", "Pd", "Pd", "Ce", "Ce", "Cd"], "fractional_positions": [[0.0000, 0.5000, 0.3518], [0.0000, 0.0000, 0.0000], [0.5000, 0.0000, 0.6482], [0.5000, 0.5000, 0.0000], [0.5000, 0.0000, 0.8767], [0.0000, 0.5000, 0.1233], [0.0000, 0.0000, 0.5000], [0.0000, 0.5000, 0.7600], [0.5000, 0.0000, 0.2400], [0.5000, 0.5000, 0.5000]]}